1.
A plane-wave DFT calculation with PBE-GGA was carried out for a relaxed structure of UV2W.

The structure in CIF format:
```
data_UV2W
_chemical_formula_sum 'U1 V2 W1'
_space_group_name_H-M_alt 'P 4/m m m'
_space_group_IT_number 123
_space_group_name_Hall '-P 4 2'
_cell_length_a 4.556
_cell_length_b 4.556
_cell_length_c 3.090
_cell_angle_alpha 90.00
_cell_angle_beta 90.00
_cell_angle_gamma 90.00
loop_
_atom_site_label
_atom_site_type_symbol
_atom_site_fract_x
_atom_site_fract_y
_atom_site_fract_z
U1 U 0.000 0.000 0.000
V1 V 0.000 0.500 0.500
W1 W 0.500 0.500 0.000
```

Values from the calculation:
**Energy above the most stable polymorph in this dataset**: 71 meV/atom
**Total magnetization**: 0.99 μB/cell
**D(E_F)**: 7.1 states/eV per cell
**V**: 16.04 Å³ per atom
**VASP energy**: -41.48 eV for the cell shown
**Energy of formation from the pure elements**: 0.25 eV per atom


2.
A plane-wave DFT calculation with PBE-GGA was carried out for a relaxed structure of AlAgRu3.

The structure in CIF format:
```
data_AlAgRu3
_chemical_formula_sum 'Al1 Ag1 Ru3'
_space_group_name_H-M_alt 'P m -3 m'
_space_group_IT_number 221
_space_group_name_Hall '-P 4 2 3'
_cell_length_a 4.784
_cell_length_b 4.784
_cell_length_c 4.784
_cell_angle_alpha 90.00
_cell_angle_beta 90.00
_cell_angle_gamma 90.00
loop_
_atom_site_label
_atom_site_type_symbol
_atom_site_fract_x
_atom_site_fract_y
_atom_site_fract_z
Al1 Al 0.000 0.000 0.000
Ag1 Ag 0.500 0.500 0.500
Ru1 Ru 0.000 0.500 0.500
```

Values from the calculation:
**Energy above the most stable polymorph in this dataset**: 977 meV/atom
**Total magnetization**: 5.22 μB/cell
**D(E_F)**: 6.9 states/eV per cell
**V**: 21.90 Å³ per atom
**VASP energy**: -23.52 eV for the cell shown
**Energy of formation from the pure elements**: 2.18 eV per atom


3.
A plane-wave DFT calculation with PBE-GGA was carried out for a relaxed structure of ZrCr2Si.

The structure in CIF format:
```
data_ZrCr2Si
_chemical_formula_sum 'Zr2 Cr4 Si2'
_space_group_name_H-M_alt 'I m m m'
_space_group_IT_number 71
_space_group_name_Hall '-I 2 2'
_cell_length_a 3.323
_cell_length_b 4.222
_cell_length_c 8.339
_cell_angle_alpha 90.00
_cell_angle_beta 90.00
_cell_angle_gamma 90.00
loop_
_atom_site_label
_atom_site_type_symbol
_atom_site_fract_x
_atom_site_fract_y
_atom_site_fract_z
Zr1 Zr 0.000 0.000 0.000
Cr1 Cr 0.000 0.500 0.251
Si1 Si 0.000 0.000 0.500
```

Values from the calculation:
**Total magnetization**: 0.00 μB/cell
**D(E_F)**: 7.3 states/eV per cell
**V**: 14.62 Å³ per atom
**VASP energy**: -66.02 eV for the cell shown


4.
A plane-wave DFT calculation with PBE-GGA was carried out for a relaxed structure of RbHg.

The structure in CIF format:
```
data_RbHg
_chemical_formula_sum 'Rb8 Hg8'
_space_group_name_H-M_alt 'I 4/m m m'
_space_group_IT_number 139
_space_group_name_Hall '-I 4 2'
_cell_length_a 10.698
_cell_length_b 10.698
_cell_length_c 6.394
_cell_angle_alpha 90.00
_cell_angle_beta 90.00
_cell_angle_gamma 90.00
loop_
_atom_site_label
_atom_site_type_symbol
_atom_site_fract_x
_atom_site_fract_y
_atom_site_fract_z
Rb1 Rb 0.000 0.282 0.000
Hg1 Hg 0.144 0.144 0.500
```

Values from the calculation:
**Total magnetization**: 0.00 μB/cell
**D(E_F)**: 9.5 states/eV per cell
**V**: 45.73 Å³ per atom
**VASP energy**: -13.35 eV for the cell shown
**Energy of formation from the pure elements**: -0.20 eV per atom


5.
A plane-wave DFT calculation with PBE-GGA was carried out for a relaxed structure of Tb4GdEr.

The structure in CIF format:
```
data_Tb4GdEr
_chemical_formula_sum 'Tb16 Gd4 Er4'
_space_group_name_H-M_alt 'F -4 3 m'
_space_group_IT_number 216
_space_group_name_Hall 'F -4 2 3'
_cell_length_a 9.300
_cell_length_b 9.300
_cell_length_c 9.300
_cell_angle_alpha 90.00
_cell_angle_beta 90.00
_cell_angle_gamma 90.00
loop_
_atom_site_label
_atom_site_type_symbol
_atom_site_fract_x
_atom_site_fract_y
_atom_site_fract_z
Tb1 Tb 0.124 0.124 0.376
Gd1 Gd 0.000 0.000 0.000
Er1 Er 0.250 0.250 0.750
```

Values from the calculation:
**Total magnetization**: 32.81 μB/cell
**D(E_F)**: 41.4 states/eV per cell
**V**: 33.51 Å³ per atom
**VASP energy**: -142.72 eV for the cell shown
**Energy of formation from the pure elements**: 0.25 eV per atom


6.
A plane-wave DFT calculation with PBE-GGA was carried out for a relaxed structure of Y2Ga3CoCu12.

The structure in CIF format:
```
data_Y2Ga3CoCu12
_chemical_formula_sum 'Y6 Ga9 Co3 Cu36'
_space_group_name_H-M_alt 'R -3 m'
_space_group_IT_number 166
_space_group_name_Hall '-R 3 2"'
_cell_length_a 5.2018
_cell_length_b 5.2018
_cell_length_c 35.7224
_cell_angle_alpha 90.00
_cell_angle_beta 90.00
_cell_angle_gamma 120.00
loop_
_atom_site_label
_atom_site_type_symbol
_atom_site_fract_x
_atom_site_fract_y
_atom_site_fract_z
Y1 Y 0.0000 0.0000 0.1453
Ga1 Ga 0.0000 0.5000 0.0000
Co1 Co 0.0000 0.0000 0.5000
Cu1 Cu 0.0031 0.5016 0.1115
Cu2 Cu 0.0122 0.5061 0.6095
```

Values from the calculation:
**Total magnetization**: 0.00 μB/cell
**D(E_F)**: 35.5 states/eV per cell
**V**: 15.50 Å³ per atom
**VASP energy**: -231.07 eV for the cell shown
**Energy of formation from the pure elements**: 0.07 eV per atom


7.
A plane-wave DFT calculation with PBE-GGA was carried out for a relaxed structure of CeYAu3.

The structure in CIF format:
```
data_CeYAu3
_chemical_formula_sum 'Ce4 Y4 Au12'
_space_group_name_H-M_alt 'C m c m'
_space_group_IT_number 63
_space_group_name_Hall '-C 2c 2'
_cell_length_a 3.622
_cell_length_b 28.324
_cell_length_c 4.648
_cell_angle_alpha 90.00
_cell_angle_beta 90.00
_cell_angle_gamma 90.00
loop_
_atom_site_label
_atom_site_type_symbol
_atom_site_fract_x
_atom_site_fract_y
_atom_site_fract_z
Ce1 Ce 0.000 0.073 0.250
Y1 Y 0.000 0.207 0.750
Au1 Au 0.000 0.316 0.750
Au2 Au 0.000 0.377 0.250
Au3 Au 0.000 0.474 0.250
```

Values from the calculation:
**Total magnetization**: 3.94 μB/cell
**D(E_F)**: 38.2 states/eV per cell
**V**: 23.85 Å³ per atom
**VASP energy**: -103.93 eV for the cell shown
**Energy of formation from the pure elements**: -0.75 eV per atom


8.
A plane-wave DFT calculation with PBE-GGA was carried out for a relaxed structure of ReRuRh2.

The structure in CIF format:
```
data_ReRuRh2
_chemical_formula_sum 'Re1 Ru1 Rh2'
_space_group_name_H-M_alt 'P 1 2/m 1'
_space_group_IT_number 10
_cell_length_a 4.701
_cell_length_b 2.715
_cell_length_c 4.736
_cell_angle_alpha 90.00
_cell_angle_beta 109.38
_cell_angle_gamma 90.00
loop_
_space_group_symop_operation_xyz
'x,y,z'
'-x,-y,-z'
'-x,y,-z'
'x,-y,z'
loop_
_atom_site_label
_atom_site_type_symbol
_atom_site_fract_x
_atom_site_fract_y
_atom_site_fract_z
Re1 Re 0.000 0.000 0.000
Ru1 Ru 0.500 0.500 0.000
Rh1 Rh 0.000 0.500 0.500
Rh2 Rh 0.500 0.000 0.500
```

Values from the calculation:
**Energy above the most stable polymorph in this dataset**: 79 meV/atom
**Total magnetization**: 0.00 μB/cell
**D(E_F)**: 4.4 states/eV per cell
**V**: 14.26 Å³ per atom
**VASP energy**: -36.44 eV for the cell shown
**Energy of formation from the pure elements**: 0.00 eV per atom